# 1
Entry from Alexandria via LeMat-Bulk: an optimized crystal structure of SiRuW2 (GGA-PBE).

Values from the calculation:
**VASP energy**: -9.597 eV/atom
**Size of the total moment**: 0.0 Bohr magnetons per cell
**Formation energy (no corrections)**: 214 kJ/mol of formula units

a b c (Å): 3.7240 3.7240 9.6471
angles (deg): 78.87 78.87 90.00
With the nearest neighbours (Å) after each atom.
Fractional coordinates of all 8 atoms:
1 Ru 0.7500 0.2500 0.5000  4 Si 2.63, 4 W 2.69
2 Ru 0.0000 0.0000 0.0000  4 Si 2.63, 4 W 2.69
3 W 0.8750 0.8568 0.7500  4 W 2.54-2.73, 2 Si 2.64, 2 Ru 2.69
4 W 0.6068 0.1250 0.2500  4 W 2.54-2.73, 2 Si 2.64, 2 Ru 2.69
5 W 0.3750 0.3932 0.7500  4 W 2.54-2.73, 2 Si 2.64, 2 Ru 2.69
6 W 0.1432 0.6250 0.2500  4 W 2.54-2.73, 2 Si 2.64, 2 Ru 2.69
7 Si 0.5000 0.5000 0.0000  4 Ru 2.63, 4 W 2.64
8 Si 0.2500 0.7500 0.5000  4 Ru 2.63, 4 W 2.64



# 2
Entry from Alexandria via LeMat-Bulk: an optimized crystal structure of SiRuW (GGA-PBE).

Values from the calculation:
**VASP energy**: -9.525 eV/atom
**Size of the total moment**: 0.0 Bohr magnetons per cell
**Formation energy (no corrections)**: -89 kJ/mol of formula units

a b c (Å): 5.3828 5.3831 2.8884
angles (deg): 74.43 74.44 31.13
With the nearest neighbours (Å) after each atom.
Fractional coordinates of all 3 atoms:
1 Si 0.3442 0.3442 0.6558  4 Ru 2.47, 4 W 2.67
2 W 0.6719 0.6719 0.3281  4 Si 2.67, 4 Ru 2.77, 4 W 2.89
3 Ru 0.9839 0.9839 0.0161  4 Si 2.47